# SrLi2Ag, relaxed, DFT GGA-PBE
# formation enthalpy at 0 K	-0.03	eV/atom
# uncorrected energy	-2.120	eV per atom
data_SrLi2Ag
_chemical_formula_sum 'Sr1 Li2 Ag1'
_space_group_name_H-M_alt 'P 1'
_space_group_IT_number 1
_cell_length_a 3.779
_cell_length_b 3.775
_cell_length_c 6.949
_cell_angle_alpha 90.00
_cell_angle_beta 90.00
_cell_angle_gamma 90.00
loop_
_space_group_symop_operation_xyz
'x,y,z'
loop_
_atom_site_label
_atom_site_fract_x
_atom_site_fract_y
_atom_site_fract_z
Li1 0.000 0.000 0.574
Ag1 0.500 0.500 0.750
Li2 0.000 0.000 0.926
Sr1 0.500 0.500 0.250

***

# Fe3RePd, relaxed, DFT GGA-PBE
# formation enthalpy at 0 K	1.86	eV/atom
# uncorrected energy	-6.751	eV per atom
data_Fe3RePd
_chemical_formula_sum 'Fe3 Re1 Pd1'
_space_group_name_H-M_alt 'P 1'
_space_group_IT_number 1
_cell_length_a 4.483
_cell_length_b 4.483
_cell_length_c 4.483
_cell_angle_alpha 90.00
_cell_angle_beta 90.00
_cell_angle_gamma 90.00
loop_
_space_group_symop_operation_xyz
'x,y,z'
loop_
_atom_site_label
_atom_site_fract_x
_atom_site_fract_y
_atom_site_fract_z
Pd1 0.000 0.000 0.000
Re1 0.500 0.500 0.500
Fe1 0.500 0.000 0.000
Fe2 0.000 0.500 0.000
Fe3 0.000 0.000 0.500

***

# K3AcS4O12, relaxed, DFT GGA-PBE
# uncorrected energy	-5.491	eV per atom
# formation energy from raw total energies	-26.4	eV/f.u.
data_K3AcS4O12
_chemical_formula_sum 'K3 Ac1 S4 O12'
_space_group_name_H-M_alt 'P 1'
_space_group_IT_number 1
_cell_length_a 7.589
_cell_length_b 7.589
_cell_length_c 7.589
_cell_angle_alpha 106.03
_cell_angle_beta 106.03
_cell_angle_gamma 106.03
loop_
_space_group_symop_operation_xyz
'x,y,z'
loop_
_atom_site_label
_atom_site_fract_x
_atom_site_fract_y
_atom_site_fract_z
S1 0.500 0.955 0.045
O1 0.030 0.155 0.355
O2 0.645 0.845 0.970
K1 0.471 0.000 0.529
O3 0.381 0.619 0.500
O4 0.921 0.500 0.079
Ac1 0.000 0.000 0.000
S2 0.045 0.500 0.955
O5 0.845 0.970 0.645
O6 0.500 0.381 0.619
O7 0.355 0.030 0.155
O8 0.970 0.645 0.845
O9 0.500 0.079 0.921
O10 0.079 0.921 0.500
K2 0.000 0.529 0.471
S3 0.500 0.500 0.500
O11 0.619 0.500 0.381
S4 0.955 0.045 0.500
K3 0.529 0.471 0.000
O12 0.155 0.355 0.030

***

# La5Pm2Nd, relaxed, DFT GGA-PBE
# formation enthalpy at 0 K	0.01	eV/atom
# uncorrected energy	-4.850	eV per atom
data_La5Pm2Nd
_chemical_formula_sum 'La5 Pm2 Nd1'
_space_group_name_H-M_alt 'P 1'
_space_group_IT_number 1
_cell_length_a 7.423
_cell_length_b 7.423
_cell_length_c 7.423
_cell_angle_alpha 90.28
_cell_angle_beta 119.84
_cell_angle_gamma 119.84
loop_
_space_group_symop_operation_xyz
'x,y,z'
loop_
_atom_site_label
_atom_site_fract_x
_atom_site_fract_y
_atom_site_fract_z
La1 0.000 0.278 0.278
La2 0.500 0.778 0.778
Pm1 0.500 0.778 0.278
Pm2 0.500 0.278 0.778
Nd1 0.000 0.778 0.778
La3 0.500 0.278 0.278
La4 0.000 0.778 0.278
La5 0.000 0.278 0.778